Record 1
PBE Rb2BaGeF6, relaxed; D(E_F) = 0.0000 states/eV/atom; size of the total moment = 0.00 μB/f.u.; energy = -4.7711 eV/atom
1.0
0.0000 4.7916 4.7916
4.7916 0.0000 4.7916
4.7916 4.7916 0.0000
Rb Ba Ge F
2 1 1 6
Direct
0.2500 0.2500 0.2500
0.7500 0.7500 0.7500
0.0000 0.0000 0.0000
0.5000 0.5000 0.5000
0.2659 0.2659 0.7341
0.2659 0.7341 0.2659
0.2659 0.7341 0.7341
0.7341 0.2659 0.2659
0.7341 0.2659 0.7341
0.7341 0.7341 0.2659

***

Record 2
PBE TiFe2B2, relaxed; ΔH_f (0 K) = -32.3 kJ per mole of atoms; D(E_F) = 0.5804 states/eV/atom; size of the total moment = 0.80 μB/f.u.; energy = -7.9698 eV/atom
1.0
5.8849 0.0000 0.0000
0.0000 5.8849 0.0000
0.0000 0.0000 2.6667
Ti Fe B
2 4 4
Direct
0.0000 0.0000 0.0000
0.5000 0.5000 0.0000
0.1794 0.3206 0.5000
0.3206 0.8206 0.5000
0.6794 0.1794 0.5000
0.8206 0.6794 0.5000
0.1086 0.6086 0.0000
0.3914 0.1086 0.0000
0.6086 0.8914 0.0000
0.8914 0.3914 0.0000

***

Record 3
PBE CsZr3Re, relaxed; ΔH_f (0 K) = 76.4 kJ per mole of atoms; D(E_F) = 1.6739 states/eV/atom; size of the total moment = 0.00 μB/f.u.; energy = -6.9969 eV/atom
1.0
5.2776 0.0000 0.0000
0.0000 5.2776 0.0000
0.0000 0.0000 5.2776
Cs Zr Re
1 3 1
Direct
0.0000 0.0000 0.0000
0.0000 0.5000 0.5000
0.5000 0.0000 0.5000
0.5000 0.5000 0.0000
0.5000 0.5000 0.5000

***

- Which formula does entry 1 have?
  Rb2BaGeF6

***

- Look up the D(E_F) of the first one.
  0.0000 states/eV/atom